Below is Ac4PPdBr2 after structural relaxation, with properties calculated at the PBE level.

a = 4.323 Å, b = 7.984 Å, c = 8.067 Å
α = 107.48°, β = 90.00°, γ = 90.00°
Element x y z (fractional)
Ac: 0.500 0.230 0.216
Ac: 0.500 0.770 0.784
Ac: 0.000 0.269 0.792
Ac: 0.000 0.731 0.208
P: 0.000 0.000 0.000
Pd: 0.500 0.500 0.000
Br: 0.500 0.000 0.500
Br: 0.000 0.500 0.500

Computed properties:
SG: P2/m
DFT total energy in eV for the cell shown: -40.15
Magnetization in μB per atom: 0.000
Theoretical density in Mg/m³: 7.53
Fermi-level density of states in states/eV/cell: 5.9

---

Below is Ac8P3PdBr4 after structural relaxation, with properties calculated at the PBE level.

a = 8.914 Å, b = 9.147 Å, c = 8.914 Å
α = 119.16°, β = 120.00°, γ = 90.00°
Element x y z (fractional)
Ac: 0.239 0.714 0.975
Ac: 0.239 0.714 0.477
Ac: 0.263 0.288 0.525
Ac: 0.737 0.714 0.975
Ac: 0.263 0.286 0.025
Ac: 0.737 0.712 0.475
Ac: 0.761 0.286 0.523
Ac: 0.761 0.286 0.025
P: 0.500 0.500 0.000
P: 0.500 0.500 0.500
P: 0.000 0.500 0.500
Pd: 0.000 0.500 0.000
Br: 0.500 0.000 0.000
Br: 0.500 0.000 0.500
Br: 0.000 0.000 0.000
Br: 0.000 0.000 0.500

Computed properties:
SG: R-3m
DFT total energy in eV for the cell shown: -82.13
Magnetization in μB per atom: 0.000
Theoretical density in Mg/m³: 7.45
Fermi-level density of states in states/eV/cell: 10.3

---

Below is Ac8P3PtBr4 after structural relaxation, with properties calculated at the PBE level.

a = 8.933 Å, b = 9.170 Å, c = 8.933 Å
α = 119.15°, β = 120.00°, γ = 90.00°
Element x y z (fractional)
Ac: 0.236 0.711 0.976
Ac: 0.236 0.711 0.472
Ac: 0.263 0.288 0.525
Ac: 0.740 0.711 0.976
Ac: 0.260 0.289 0.024
Ac: 0.737 0.712 0.475
Ac: 0.764 0.289 0.528
Ac: 0.764 0.289 0.024
P: 0.500 0.500 0.000
P: 0.500 0.500 0.500
P: 0.000 0.500 0.500
Pt: 0.000 0.500 0.000
Br: 0.500 0.000 0.000
Br: 0.500 0.000 0.500
Br: 0.000 0.000 0.000
Br: 0.000 0.000 0.500

Computed properties:
SG: R-3m
DFT total energy in eV for the cell shown: -83.93
Magnetization in μB per atom: 0.000
Theoretical density in Mg/m³: 7.68
Fermi-level density of states in states/eV/cell: 9.6

---

Below is Ac4PPtBr2 after structural relaxation, with properties calculated at the PBE level.

a = 4.342 Å, b = 7.984 Å, c = 8.131 Å
α = 107.65°, β = 90.00°, γ = 90.00°
Element x y z (fractional)
Ac: 0.500 0.234 0.213
Ac: 0.500 0.766 0.787
Ac: 0.000 0.275 0.796
Ac: 0.000 0.725 0.204
P: 0.000 0.000 0.000
Pt: 0.500 0.500 0.000
Br: 0.500 0.000 0.500
Br: 0.000 0.500 0.500

Computed properties:
SG: P2/m
DFT total energy in eV for the cell shown: -41.96
Magnetization in μB per atom: 0.000
Theoretical density in Mg/m³: 8.00
Fermi-level density of states in states/eV/cell: 6.2

---

Below is Ac6PPt2Br3 after structural relaxation, with properties calculated at the PBE level.

a = 7.784 Å, b = 7.784 Å, c = 8.315 Å
α = 98.95°, β = 98.95°, γ = 119.95°
Element x y z (fractional)
Ac: 0.932 0.591 0.797
Ac: 0.726 0.726 0.202
Ac: 0.068 0.409 0.203
Ac: 0.591 0.932 0.797
Ac: 0.274 0.274 0.798
Ac: 0.409 0.068 0.203
P: 0.000 0.000 0.000
Pt: 0.333 0.667 0.000
Pt: 0.667 0.333 0.000
Br: 0.158 0.842 0.500
Br: 0.842 0.158 0.500
Br: 0.500 0.500 0.500

Computed properties:
SG: C2/m
DFT total energy in eV for the cell shown: -63.07
Magnetization in μB per atom: 0.000
Theoretical density in Mg/m³: 8.10
Fermi-level density of states in states/eV/cell: 10.2

---

Below is Ac6PRh2Br3 after structural relaxation, with properties calculated at the PBE level.

a = 7.642 Å, b = 7.642 Å, c = 8.557 Å
α = 98.48°, β = 98.48°, γ = 119.97°
Element x y z (fractional)
Ac: 0.935 0.591 0.804
Ac: 0.721 0.721 0.196
Ac: 0.065 0.409 0.196
Ac: 0.591 0.935 0.804
Ac: 0.279 0.279 0.804
Ac: 0.409 0.065 0.196
P: 0.000 0.000 0.000
Rh: 0.333 0.667 0.000
Rh: 0.667 0.333 0.000
Br: 0.164 0.836 0.500
Br: 0.836 0.164 0.500
Br: 0.500 0.500 0.500

Computed properties:
SG: C2/m
DFT total energy in eV for the cell shown: -64.26
Magnetization in μB per atom: 0.000
Theoretical density in Mg/m³: 7.38
Fermi-level density of states in states/eV/cell: 3.2

---

Below is Ac6P2Rh3Br after structural relaxation, with properties calculated at the PBE level.

a = 4.331 Å, b = 9.080 Å, c = 9.952 Å
α = 105.74°, β = 102.57°, γ = 90.00°
Element x y z (fractional)
Ac: 0.323 0.919 0.646
Ac: 0.666 0.582 0.332
Ac: 0.677 0.081 0.354
Ac: 0.997 0.276 0.994
Ac: 0.003 0.724 0.006
Ac: 0.334 0.418 0.668
P: 0.836 0.677 0.673
P: 0.164 0.323 0.327
Rh: 0.500 0.500 0.000
Rh: 0.836 0.171 0.673
Rh: 0.164 0.829 0.327
Br: 0.500 0.000 0.000

Computed properties:
SG: C2/m
DFT total energy in eV for the cell shown: -71.19
Magnetization in μB per atom: 0.000
Theoretical density in Mg/m³: 8.20
Fermi-level density of states in states/eV/cell: 5.0

---

Below is Ac6PRh2Br2 after structural relaxation, with properties calculated at the PBE level.

a = 7.636 Å, b = 7.636 Å, c = 8.103 Å
α = 98.85°, β = 98.85°, γ = 118.31°
Element x y z (fractional)
Ac: 0.713 0.713 0.706
Ac: 0.071 0.407 0.707
Ac: 0.287 0.287 0.294
Ac: 0.407 0.071 0.707
Ac: 0.929 0.593 0.293
Ac: 0.593 0.929 0.293
P: 0.000 0.000 0.500
Rh: 0.329 0.671 0.500
Rh: 0.671 0.329 0.500
Br: 0.839 0.161 0.000
Br: 0.161 0.839 0.000

Computed properties:
SG: C2/m
DFT total energy in eV for the cell shown: -59.27
Magnetization in μB per atom: 0.000
Theoretical density in Mg/m³: 7.36
Fermi-level density of states in states/eV/cell: 9.9

---

Below is Ac4PRhBr2 after structural relaxation, with properties calculated at the PBE level.

a = 4.272 Å, b = 7.965 Å, c = 8.232 Å
α = 106.63°, β = 90.00°, γ = 90.00°
Element x y z (fractional)
Ac: 0.500 0.238 0.208
Ac: 0.500 0.762 0.792
Ac: 0.000 0.280 0.802
Ac: 0.000 0.720 0.198
P: 0.000 0.000 0.000
Rh: 0.500 0.500 0.000
Br: 0.500 0.000 0.500
Br: 0.000 0.500 0.500

Computed properties:
SG: P2/m
DFT total energy in eV for the cell shown: -42.44
Magnetization in μB per atom: 0.000
Theoretical density in Mg/m³: 7.44
Fermi-level density of states in states/eV/cell: 6.2

---

Below is Ac8PRu3Br4 after structural relaxation, with properties calculated at the PBE level.

a = 8.752 Å, b = 9.605 Å, c = 8.752 Å
α = 117.10°, β = 120.00°, γ = 90.00°
Element x y z (fractional)
Ac: 0.237 0.692 0.955
Ac: 0.237 0.692 0.473
Ac: 0.265 0.296 0.530
Ac: 0.719 0.692 0.955
Ac: 0.281 0.308 0.045
Ac: 0.735 0.704 0.470
Ac: 0.763 0.308 0.527
Ac: 0.763 0.308 0.045
P: 0.000 0.500 0.000
Ru: 0.500 0.500 0.000
Ru: 0.500 0.500 0.500
Ru: 0.000 0.500 0.500
Br: 0.500 0.000 0.000
Br: 0.500 0.000 0.500
Br: 0.000 0.000 0.000
Br: 0.000 0.000 0.500

Computed properties:
SG: R-3m
DFT total energy in eV for the cell shown: -88.48
Magnetization in μB per atom: 0.000
Theoretical density in Mg/m³: 7.57
Fermi-level density of states in states/eV/cell: 11.0

---

Below is AcPRuBr after structural relaxation, with properties calculated at the PBE level.

a = 4.079 Å, b = 4.079 Å, c = 14.848 Å
α = 82.11°, β = 82.11°, γ = 60.00°
Element x y z (fractional)
Ac: 0.077 0.077 0.769
Ac: 0.923 0.923 0.231
P: 0.634 0.634 0.098
P: 0.366 0.366 0.902
Ru: 0.687 0.687 0.938
Ru: 0.313 0.313 0.062
Br: 0.791 0.791 0.626
Br: 0.209 0.209 0.374

Computed properties:
SG: R-3m
DFT total energy in eV for the cell shown: -50.54
Magnetization in μB per atom: 0.000
Theoretical density in Mg/m³: 6.90
Fermi-level density of states in states/eV/cell: 7.0

---

Below is Ac6PRu2Br2 after structural relaxation, with properties calculated at the PBE level.

a = 7.606 Å, b = 7.606 Å, c = 8.245 Å
α = 98.81°, β = 98.81°, γ = 118.83°
Element x y z (fractional)
Ac: 0.715 0.715 0.698
Ac: 0.068 0.412 0.703
Ac: 0.285 0.285 0.302
Ac: 0.412 0.068 0.703
Ac: 0.932 0.588 0.297
Ac: 0.588 0.932 0.297
P: 0.000 0.000 0.500
Ru: 0.329 0.671 0.500
Ru: 0.671 0.329 0.500
Br: 0.838 0.162 0.000
Br: 0.162 0.838 0.000

Computed properties:
SG: C2/m
DFT total energy in eV for the cell shown: -61.05
Magnetization in μB per atom: 0.003
Theoretical density in Mg/m³: 7.31
Fermi-level density of states in states/eV/cell: 10.9

---

Below is Ac4PRuBr2 after structural relaxation, with properties calculated at the PBE level.

a = 4.286 Å, b = 7.879 Å, c = 8.300 Å
α = 105.42°, β = 90.00°, γ = 90.00°
Element x y z (fractional)
Ac: 0.500 0.246 0.198
Ac: 0.500 0.754 0.802
Ac: 0.000 0.281 0.802
Ac: 0.000 0.719 0.198
P: 0.000 0.000 0.000
Ru: 0.500 0.500 0.000
Br: 0.500 0.000 0.500
Br: 0.000 0.500 0.500

Computed properties:
SG: P2/m
DFT total energy in eV for the cell shown: -43.45
Magnetization in μB per atom: 0.000
Theoretical density in Mg/m³: 7.37
Fermi-level density of states in states/eV/cell: 5.0

---

Below is Ac6PRu2Br3 after structural relaxation, with properties calculated at the PBE level.

a = 7.603 Å, b = 7.603 Å, c = 8.527 Å
α = 98.54°, β = 98.54°, γ = 119.96°
Element x y z (fractional)
Ac: 0.935 0.588 0.803
Ac: 0.718 0.718 0.196
Ac: 0.065 0.412 0.197
Ac: 0.588 0.935 0.803
Ac: 0.282 0.282 0.804
Ac: 0.412 0.065 0.197
P: 0.000 0.000 0.000
Ru: 0.333 0.667 0.000
Ru: 0.667 0.333 0.000
Br: 0.166 0.834 0.500
Br: 0.834 0.166 0.500
Br: 0.500 0.500 0.500

Computed properties:
SG: C2/m
DFT total energy in eV for the cell shown: -66.05
Magnetization in μB per atom: 0.000
Theoretical density in Mg/m³: 7.47
Fermi-level density of states in states/eV/cell: 10.5

---

Below is AcPS4Br after structural relaxation, with properties calculated at the PBE level.

a = 8.491 Å, b = 8.491 Å, c = 7.275 Å
α = 76.15°, β = 76.15°, γ = 65.71°
Element x y z (fractional)
Ac: 0.176 0.176 0.914
Ac: 0.824 0.824 0.086
P: 0.658 0.658 0.736
P: 0.342 0.342 0.264
S: 0.342 0.342 0.538
S: 0.658 0.658 0.462
S: 0.106 0.448 0.164
S: 0.495 0.495 0.148
S: 0.552 0.894 0.836
S: 0.448 0.106 0.164
S: 0.505 0.505 0.852
S: 0.894 0.552 0.836
Br: 0.994 0.994 0.259
Br: 0.006 0.006 0.741

Computed properties:
SG: C2/m
DFT total energy in eV for the cell shown: -69.05
Magnetization in μB per atom: 0.000
Theoretical density in Mg/m³: 3.38
Fermi-level density of states in states/eV/cell: 0.0

---

Below is Ac6P2S3Br after structural relaxation, with properties calculated at the PBE level.

a = 4.375 Å, b = 8.793 Å, c = 9.771 Å
α = 102.61°, β = 102.94°, γ = 90.00°
Element x y z (fractional)
Ac: 0.325 0.908 0.651
Ac: 0.669 0.580 0.337
Ac: 0.675 0.092 0.349
Ac: 0.002 0.272 0.003
Ac: 0.998 0.728 0.997
Ac: 0.331 0.420 0.663
P: 0.835 0.670 0.670
P: 0.165 0.330 0.330
S: 0.500 0.500 0.000
S: 0.836 0.166 0.671
S: 0.164 0.834 0.329
Br: 0.500 0.000 0.000

Computed properties:
SG: C2/m
DFT total energy in eV for the cell shown: -70.30
Magnetization in μB per atom: 0.000
Theoretical density in Mg/m³: 7.44
Fermi-level density of states in states/eV/cell: 4.9

---

Below is Ac4PSBr2 after structural relaxation, with properties calculated at the PBE level.

a = 4.392 Å, b = 7.538 Å, c = 8.029 Å
α = 108.52°, β = 90.00°, γ = 90.00°
Element x y z (fractional)
Ac: 0.500 0.238 0.211
Ac: 0.500 0.762 0.789
Ac: 0.000 0.264 0.790
Ac: 0.000 0.736 0.210
P: 0.000 0.000 0.000
S: 0.500 0.500 0.000
Br: 0.500 0.000 0.500
Br: 0.000 0.500 0.500

Computed properties:
SG: P2/m
DFT total energy in eV for the cell shown: -41.43
Magnetization in μB per atom: 0.000
Theoretical density in Mg/m³: 7.45
Fermi-level density of states in states/eV/cell: 4.4

---

Below is Ac6P3Se2Br after structural relaxation, with properties calculated at the PBE level.

a = 4.425 Å, b = 9.022 Å, c = 10.038 Å
α = 104.30°, β = 102.73°, γ = 90.00°
Element x y z (fractional)
Ac: 0.325 0.925 0.649
Ac: 0.663 0.593 0.327
Ac: 0.675 0.075 0.351
Ac: 0.995 0.273 0.991
Ac: 0.005 0.727 0.009
Ac: 0.337 0.407 0.673
P: 0.500 0.500 0.000
P: 0.835 0.167 0.669
P: 0.165 0.833 0.331
Se: 0.835 0.670 0.670
Se: 0.165 0.330 0.330
Br: 0.500 0.000 0.000

Computed properties:
SG: C2/m
DFT total energy in eV for the cell shown: -69.40
Magnetization in μB per atom: 0.000
Theoretical density in Mg/m³: 7.43
Fermi-level density of states in states/eV/cell: 5.6

---

Below is Ac8P3Se4Br after structural relaxation, with properties calculated at the PBE level.

a = 8.913 Å, b = 8.939 Å, c = 8.913 Å
α = 119.90°, β = 120.00°, γ = 90.00°
Element x y z (fractional)
Ac: 0.256 0.741 0.985
Ac: 0.256 0.741 0.511
Ac: 0.256 0.269 0.512
Ac: 0.729 0.741 0.985
Ac: 0.271 0.259 0.015
Ac: 0.744 0.731 0.488
Ac: 0.744 0.259 0.489
Ac: 0.744 0.259 0.015
P: 0.500 0.500 0.000
P: 0.500 0.500 0.500
P: 0.000 0.500 0.500
Se: 0.500 0.000 0.000
Se: 0.500 0.000 0.500
Se: 0.000 0.000 0.000
Se: 0.000 0.000 0.500
Br: 0.000 0.500 0.000

Computed properties:
SG: R-3m
DFT total energy in eV for the cell shown: -91.77
Magnetization in μB per atom: 0.000
Theoretical density in Mg/m³: 7.61
Fermi-level density of states in states/eV/cell: 9.7

---

Below is Ac6Si2PBr3 after structural relaxation, with properties calculated at the PBE level.

a = 4.519 Å, b = 9.253 Å, c = 10.307 Å
α = 105.03°, β = 102.66°, γ = 90.00°
Element x y z (fractional)
Ac: 0.344 0.900 0.687
Ac: 0.675 0.563 0.350
Ac: 0.656 0.100 0.313
Ac: 0.007 0.224 0.015
Ac: 0.993 0.776 0.985
Ac: 0.325 0.437 0.650
Si: 0.835 0.670 0.669
Si: 0.165 0.330 0.331
P: 0.500 0.000 0.000
Br: 0.500 0.500 0.000
Br: 0.831 0.166 0.662
Br: 0.169 0.834 0.338

Computed properties:
SG: C2/m
DFT total energy in eV for the cell shown: -60.23
Magnetization in μB per atom: 0.000
Theoretical density in Mg/m³: 6.92
Fermi-level density of states in states/eV/cell: 6.0